No. 1
First-principles (PBE) data for an optimized crystal structure of FeW3, as listed in the Alexandria database.

Calculated values
Calculated density: 16.34 g/cm³
N(E_F): 4.45 states/eV/cell
Space group: No. 25
Formation energy from the elements: 0.40 eV/atom
Energy: -45.72 eV/f.u.
Spin magnetization: 2.32 μB/cell

a = 2.608 Å, b = 4.621 Å, c = 5.123 Å
α = 90.00°, β = 90.00°, γ = 90.00°
Element x y z (fractional)
Fe 0.000 0.000 0.000
W 0.000 0.500 0.300
W 0.500 0.000 0.512
W 0.500 0.500 0.812

No. 2
First-principles (PBE) data for an optimized crystal structure of Nd6Te3P2Br, as listed in the Alexandria database.

Calculated values
Calculated density: 6.56 g/cm³
N(E_F): 5.41 states/eV/cell
Space group: No. 12
Energy: -68.32 eV/f.u.
Spin magnetization: 0.00 μB/cell
Formation energy from raw total energies: -1.483 eV/atom

a = 9.778 Å, b = 9.778 Å, c = 8.859 Å
α = 103.45°, β = 103.45°, γ = 25.33°
Element x y z (fractional)
Nd 0.018 0.018 0.260
Nd 0.325 0.325 0.436
Nd 0.327 0.327 0.877
Nd 0.673 0.673 0.123
Nd 0.675 0.675 0.564
Nd 0.982 0.982 0.740
Te 0.159 0.159 0.836
Te 0.500 0.500 0.500
Te 0.841 0.841 0.164
P 0.170 0.170 0.338
P 0.830 0.830 0.662
Br 0.500 0.500 0.000

No. 3
First-principles (PBE) data for an optimized crystal structure of RbSrBeNi2, as listed in the Alexandria database.

Calculated values
Calculated density: 2.84 g/cm³
N(E_F): 4.44 states/eV/cell
Space group: No. 123
Formation energy from the elements: 1.42 eV/atom
Energy: -10.85 eV/f.u.
Spin magnetization: 0.89 μB/cell

a = 5.461 Å, b = 5.461 Å, c = 5.881 Å
α = 90.00°, β = 90.00°, γ = 90.00°
Element x y z (fractional)
Rb 0.000 0.000 0.000
Sr 0.500 0.500 0.500
Be 0.500 0.500 0.000
Ni 0.000 0.500 0.500
Ni 0.500 0.000 0.500